The following is a GGA-PBE calculation of a geometry-optimized BaSbI2N structure, from Alexandria.

Results
For the formation energy from raw total energies, the calculation gives 0.6247 eV per atom. As for the density of states at the Fermi level: 9.9 states/eV per cell. The total moment comes out at 0.004 μB per formula unit. Its raw total energy is -2.869 eV/atom. The volume is 197 Å³/cell.

Lattice parameters (Å, degrees): 6.692 6.692 4.409 90.00 90.00 90.00
Space group P4/mmm (No. 123)
Unique sites:
1 Ba 0.000 0.000 0.000 (multiplicity 1)
2 Sb 0.500 0.500 0.500 (multiplicity 1)
3 I 0.000 0.500 0.000 (multiplicity 2)
4 N 0.000 0.000 0.500 (multiplicity 1)